(1)
DFT (PBE) results for a geometry-optimized Sm2HfSc structure.

extended XYZ file:
```
4
Lattice="-2.761 0.452 -1.934 -1.319 -2.620 -1.720 -7.807 -3.148 7.419" Properties=species:S:1:pos:R:3 pbc="T T T"
Sc -5.943 -2.658 1.882
Hf 0.000 0.000 0.000
Sm -8.961 -4.004 2.885
Sm -2.926 -1.311 0.879
```

Summary:
ΔH_f (0 K)   163 meV per atom
Space-group type   No. 166
DOS at the Fermi energy   5.59 states/eV per cell

***

(2)
DFT (PBE) results for a geometry-optimized SmHfSc structure.

extended XYZ file:
```
6
Lattice="-3.638 0.826 2.656 0.628 -4.053 2.038 3.765 2.489 6.349" Properties=species:S:1:pos:R:3 pbc="T T T"
Hf -0.854 -1.385 5.040
Hf 1.609 0.647 6.002
Sm 0.069 -0.973 8.158
Sm 0.687 0.235 2.884
Sc -2.561 -0.405 2.500
Sc -0.448 -2.821 2.194
```

Summary:
ΔH_f (0 K)   308 meV per atom
Space-group type   No. 12
DOS at the Fermi energy   8.35 states/eV per cell